*one*
The following is a PBE calculation of a relaxed structure of TcPbCl, from the Alexandria database.

a = 3.2934 Å, b = 3.2934 Å, c = 7.6043 Å
α = 90.00°, β = 90.00°, γ = 120.00°
Closest atoms and distances in Å follow each position.
Fractional positions:
1 Cl 0.0000 0.0000 0.8932  3 Tc 2.37
2 Pb 0.6667 0.3333 0.3989  3 Tc 3.02, 6 Pb 3.29
3 Tc 0.3333 0.6667 0.7079  3 Cl 2.37

**DOS at the Fermi energy**: 0.2630 states/eV per atom
**Magnetization**: 0.000 μB/f.u.

---

*two*
The following is a PBE calculation of a relaxed structure of TcPbCl, from the Alexandria database.

a = 4.6092 Å, b = 4.6092 Å, c = 3.2932 Å
α = 90.00°, β = 90.00°, γ = 120.00°
Closest atoms and distances in Å follow each position.
Fractional positions:
1 Tc 0.6667 0.3333 0.8333  3 Cl 2.66
2 Cl 0.0000 0.0000 0.8333  3 Tc 2.66
3 Pb 0.3333 0.6667 0.3334  6 Cl 3.13, 6 Tc 3.13, 2 Pb 3.29

**DOS at the Fermi energy**: 0.3597 states/eV per atom
**Magnetization**: 1.890 μB/f.u.

---

Relative to the most stable structure, the computed energies are *one* 0.0; *two* 27.1, all in kJ/mol of atoms.

---

*one*
The following is a PBE calculation of a relaxed structure of TcPbCl, from the Alexandria database.

a = 4.6997 Å, b = 4.6997 Å, c = 4.6997 Å
α = 60.00°, β = 60.00°, γ = 60.00°
Closest atoms and distances in Å follow each position.
Fractional positions:
1 Pb 0.5000 0.5000 0.5000  4 Tc 2.88
2 Cl 0.0000 0.0000 0.0000  4 Tc 2.88
3 Tc 0.7500 0.7500 0.7500  4 Cl 2.88, 4 Pb 2.88

**DOS at the Fermi energy**: 0.5178 states/eV per atom
**Magnetization**: 2.143 μB/f.u.

---

*two*
The following is a PBE calculation of a relaxed structure of TcPbCl, from the Alexandria database.

a = 7.6037 Å, b = 7.5260 Å, c = 3.1182 Å
α = 79.51°, β = 76.71°, γ = 23.78°
Closest atoms and distances in Å follow each position.
Fractional positions:
1 Tc 0.6524 0.6524 0.3476  4 Cl 2.59-2.80
2 Cl 0.0450 0.0450 0.9550  4 Tc 2.59-2.80
3 Pb 0.3026 0.3026 0.6974  4 Tc 3.00-3.19, 4 Pb 3.12

**DOS at the Fermi energy**: 0.5884 states/eV per atom
**Magnetization**: 1.959 μB/f.u.

---

Relative to the most stable structure, the computed energies are *one* 28.5; *two* 0.0, all in kJ/mol of atoms.

---

*one*
The following is a PBE calculation of a relaxed structure of TePbCl, from the Alexandria database.

a = 5.6601 Å, b = 7.5247 Å, c = 5.9706 Å
α = 68.59°, β = 93.54°, γ = 81.08°
Closest atoms and distances in Å follow each position.
Fractional positions:
1 Cl 0.4370 0.7449 0.6927  3 Pb 2.92-2.98
2 Pb 0.5694 0.3210 0.8951  2 Cl 2.92-2.93, 2 Te 3.20-3.23
3 Cl 0.7868 0.9107 0.1590  2 Pb 2.78-2.93
4 Te 0.0559 0.3859 0.1300  1 Te 2.83
5 Te 0.0481 0.2844 0.6340  1 Te 2.83
6 Pb 0.9208 0.8290 0.7614  3 Cl 2.78-2.98

**DOS at the Fermi energy**: 0.0596 states/eV per atom
**Magnetization**: 0.000 μB/f.u.

---

*two*
The following is a PBE calculation of a relaxed structure of TePbCl, from the Alexandria database.

a = 5.2993 Å, b = 5.2993 Å, c = 3.4389 Å
α = 90.00°, β = 90.00°, γ = 120.00°
Closest atoms and distances in Å follow each position.
Fractional positions:
1 Pb 0.6667 0.3333 0.2225  3 Cl 3.07, 3 Te 3.38, 2 Pb 3.44
2 Te 0.3333 0.6667 0.6425  6 Pb 3.38-3.65, 2 Te 3.44, 6 Cl 3.50-3.52
3 Cl 0.0000 0.0000 0.1350  3 Pb 3.07, 2 Cl 3.44

**DOS at the Fermi energy**: 0.6372 states/eV per atom
**Magnetization**: 0.000 μB/f.u.

---

Relative to the most stable structure, the computed energies are *one* 0.0; *two* 24.7, all in kJ/mol of atoms.

---

*one*
The following is a PBE calculation of a relaxed structure of TePbCl, from the Alexandria database.

a = 4.5041 Å, b = 4.5041 Å, c = 12.4446 Å
α = 96.73°, β = 93.33°, γ = 121.05°
Closest atoms and distances in Å follow each position.
Fractional positions:
1 Te 0.7900 0.8041 0.5940  3 Pb 3.06-3.29, 2 Te 3.20
2 Te 0.2100 0.1959 0.4060  3 Pb 3.06-3.29, 2 Te 3.20
3 Cl 0.3947 0.7299 0.1246  2 Pb 2.85
4 Cl 0.6053 0.2701 0.8754  2 Pb 2.85
5 Pb 0.8351 0.4161 0.2512  2 Cl 2.85, 1 Te 3.06
6 Pb 0.1649 0.5839 0.7488  2 Cl 2.85, 1 Te 3.06

**DOS at the Fermi energy**: 0.5229 states/eV per atom
**Magnetization**: 0.000 μB/f.u.

---

*two*
The following is a PBE calculation of a relaxed structure of TePbCl, from the Alexandria database.

a = 5.2148 Å, b = 5.2148 Å, c = 5.2148 Å
α = 60.00°, β = 60.00°, γ = 60.00°
Closest atoms and distances in Å follow each position.
Fractional positions:
1 Te 0.0000 0.0000 0.0000  4 Pb 3.19
2 Pb 0.7500 0.7500 0.7500  4 Te 3.19, 4 Cl 3.19
3 Cl 0.5000 0.5000 0.5000  4 Pb 3.19

**DOS at the Fermi energy**: 0.7349 states/eV per atom
**Magnetization**: 0.000 μB/f.u.

---

*three*
The following is a PBE calculation of a relaxed structure of TePbCl, from the Alexandria database.

a = 8.0576 Å, b = 8.0576 Å, c = 8.0576 Å
α = 154.20°, β = 154.19°, γ = 36.82°
Closest atoms and distances in Å follow each position.
Fractional positions:
1 Cl 0.9557 0.9557 0.0000  4 Pb 3.04
2 Pb 0.3473 0.3473 0.0000  4 Cl 3.04
3 Te 0.6970 0.6970 0.0000  4 Pb 3.43, 4 Te 3.60

**DOS at the Fermi energy**: 0.2332 states/eV per atom
**Magnetization**: 0.000 μB/f.u.

---

Relative to the most stable structure, the computed energies are *one* 0.0; *two* 9.4; *three* 5.0, all in kJ/mol of atoms.